## YMoCl2 (PBE)

Data for a relaxed YMoCl2 crystal.

## Properties
Final energy ... -5.339 eV/atom
Total moment ... 2.92 μB per formula unit
Offset from the most stable computed form ... 465 meV/atom
Crystal system ... cubic
Volume ... 19.11 Å³/atom

Lattice parameters (Å, degrees): 6.737 6.737 6.737 90.00 90.00 90.00
Space group Fm-3m (No. 225)
Unique sites:
1 Y 0.000 0.000 0.000
2 Mo 0.000 0.000 0.500
3 Cl 0.250 0.250 0.250